Entry from the Alexandria database: crystalline Ru at its relaxed geometry (PBE).

Geometry as extended XYZ:
```
16
Lattice="-6.804 -3.288 0.207 2.973 -5.922 3.640 -0.813 1.921 3.788" Properties=species:S:1:pos:R:3 pbc="T T T"
Ru -3.674 -4.935 4.182
Ru -0.971 -2.354 3.454
Ru -1.030 -4.760 4.661
Ru -3.615 -2.529 2.975
Ru -4.453 -5.408 1.786
Ru 0.621 -3.803 2.061
Ru -1.274 -6.853 3.201
Ru -2.558 -2.357 0.646
Ru -6.016 -3.571 2.988
Ru 1.371 -3.719 4.648
Ru -2.756 -7.036 5.444
Ru -1.889 -0.253 2.191
Ru -3.744 -7.533 3.015
Ru -0.088 -1.678 0.832
Ru 1.133 -6.001 3.286
Ru -4.965 -3.209 0.561
```

E, eV per cell: -140.46
DOS at the Fermi energy, states/eV/f.u.: 1.0
Space group: No. 83